Version A
Density functional theory data (PBE-GGA) for an optimized crystal structure of RbTiAu3. Values from VASP.

Cell and atoms, written as Quantum ESPRESSO input:
```
&SYSTEM
  ibrav = 0, nat = 5, ntyp = 3
/
ATOMIC_SPECIES
Au 196.97 Au.upf
Rb 85.47 Rb.upf
Ti 47.87 Ti.upf
CELL_PARAMETERS angstrom
-1.3935 -2.6958 4.2415
1.9679 -4.3428 -2.1137
4.6244 1.0356 2.1776
ATOMIC_POSITIONS crystal
Au 0.0000 0.5000 0.0000
Au 0.0000 0.0000 0.5000
Au 0.5000 0.0000 0.0000
Rb 0.5000 0.5000 0.5000
Ti 0.0000 0.0000 0.0000
```

Computed properties:
Space group: Pm-3m (221)
Calculated density, g/cm³: 8.48
V, Å³/f.u.: 141.86


Version B
Density functional theory data (PBE-GGA) for an optimized crystal structure of RbTiAu3. Values from VASP.

Cell and atoms, written as Quantum ESPRESSO input:
```
&SYSTEM
  ibrav = 0, nat = 5, ntyp = 3
/
ATOMIC_SPECIES
Au 196.97 Au.upf
Rb 85.47 Rb.upf
Ti 47.87 Ti.upf
CELL_PARAMETERS angstrom
5.6483 0.0000 0.0000
0.0000 5.6483 0.0000
0.0000 0.0000 5.6483
ATOMIC_POSITIONS crystal
Au 0.0000 0.5000 0.0000
Au 0.0000 0.0000 0.5000
Au 0.5000 0.0000 0.0000
Rb 0.0000 0.0000 0.0000
Ti 0.5000 0.5000 0.5000
```

Computed properties:
Space group: Pm-3m (221)
Calculated density, g/cm³: 6.67
V, Å³/f.u.: 180.20


On energetic grounds, version A is preferred over the next structure by 146.7 kJ/mol of atoms.


Version A
Density functional theory data (PBE-GGA) for an optimized crystal structure of RbTiAu2. Values from VASP.

Cell and atoms, written as Quantum ESPRESSO input:
```
&SYSTEM
  ibrav = 0, nat = 8, ntyp = 3
/
ATOMIC_SPECIES
Au 196.97 Au.upf
Rb 85.47 Rb.upf
Ti 47.87 Ti.upf
CELL_PARAMETERS angstrom
-5.3201 5.0068 -3.3573
-5.9813 -3.8268 3.7713
-5.2884 3.0001 3.2272
ATOMIC_POSITIONS crystal
Au 0.5388 0.1250 0.2500
Au 0.2112 0.6250 0.2500
Au 0.3750 0.4612 0.7500
Au 0.8750 0.7888 0.7500
Rb 0.0000 0.0000 0.0000
Rb 0.7500 0.2500 0.5000
Ti 0.5000 0.5000 0.0000
Ti 0.2500 0.7500 0.5000
```

Computed properties:
Space group: I-42d (122)
Calculated density, g/cm³: 6.98
V, Å³/f.u.: 125.44


Version B
Density functional theory data (PBE-GGA) for an optimized crystal structure of RbTiAu2. Values from VASP.

Cell and atoms, written as Quantum ESPRESSO input:
```
&SYSTEM
  ibrav = 0, nat = 4, ntyp = 3
/
ATOMIC_SPECIES
Au 196.97 Au.upf
Rb 85.47 Rb.upf
Ti 47.87 Ti.upf
CELL_PARAMETERS angstrom
-3.5949 3.2570 1.5938
-1.0540 4.1789 -2.7381
-4.4261 0.3510 -2.5215
ATOMIC_POSITIONS crystal
Au 0.2500 0.2500 0.2500
Au 0.7500 0.7500 0.7500
Rb 0.5000 0.5000 0.5000
Ti 0.0000 0.0000 0.0000
```

Computed properties:
Space group: Fm-3m (225)
Calculated density, g/cm³: 9.30
V, Å³/f.u.: 94.13


On energetic grounds, version A is preferred over the next structure by 21.7 kJ/mol of atoms.


Version A
Density functional theory data (PBE-GGA) for an optimized crystal structure of Rb2TlAu3. Values from VASP.

Cell and atoms, written as Quantum ESPRESSO input:
```
&SYSTEM
  ibrav = 0, nat = 12, ntyp = 3
/
ATOMIC_SPECIES
Rb 85.47 Rb.upf
Tl 204.38 Tl.upf
Au 196.97 Au.upf
CELL_PARAMETERS angstrom
6.9686 0.1516 0.0000
-0.1192 6.9692 0.0000
-3.4247 -3.5604 8.3834
ATOMIC_POSITIONS crystal
Rb 0.2500 0.7500 0.5000
Rb 0.7591 0.7591 0.0000
Rb 0.7500 0.2500 0.5000
Rb 0.2409 0.2409 0.0000
Tl 0.6656 0.6656 0.3312
Tl 0.3344 0.3344 0.6688
Au 0.3283 0.8372 0.1655
Au 0.1628 0.6717 0.8345
Au 0.6717 0.1628 0.8345
Au 0.8372 0.3283 0.1655
Au 0.1635 0.1635 0.3270
Au 0.8365 0.8365 0.6730
```

Computed properties:
Space group: Fmmm (69)
Calculated density, g/cm³: 7.88
V, Å³/f.u.: 203.65


Version B
Density functional theory data (PBE-GGA) for an optimized crystal structure of Rb2TlAu3. Values from VASP.

Cell and atoms, written as Quantum ESPRESSO input:
```
&SYSTEM
  ibrav = 0, nat = 12, ntyp = 3
/
ATOMIC_SPECIES
Rb 85.47 Rb.upf
Tl 204.38 Tl.upf
Au 196.97 Au.upf
CELL_PARAMETERS angstrom
-3.6601 -4.1813 -1.7871
3.6870 -4.7103 3.4694
-5.2294 1.3936 7.4494
ATOMIC_POSITIONS crystal
Rb 0.2500 0.5000 0.6324
Rb 0.2500 0.0000 0.8683
Rb 0.7500 0.0000 0.1317
Rb 0.7500 0.5000 0.3676
Tl 0.7500 0.5000 0.9302
Tl 0.2500 0.5000 0.0698
Au 0.0000 0.0000 0.5000
Au 0.5000 0.0000 0.5000
Au 0.7500 0.2093 0.7162
Au 0.7500 0.7907 0.7162
Au 0.2500 0.2093 0.2838
Au 0.2500 0.7907 0.2838
```

Computed properties:
Space group: Pmma (51)
Calculated density, g/cm³: 8.63
V, Å³/f.u.: 185.83


On energetic grounds, version B is preferred over the next structure by 7.9 kJ/mol of atoms.


Version A
Density functional theory data (PBE-GGA) for an optimized crystal structure of Rb3TlAu3. Values from VASP.

Cell and atoms, written as Quantum ESPRESSO input:
```
&SYSTEM
  ibrav = 0, nat = 14, ntyp = 3
/
ATOMIC_SPECIES
Rb 85.47 Rb.upf
Tl 204.38 Tl.upf
Au 196.97 Au.upf
CELL_PARAMETERS angstrom
-2.4004 -0.9657 -4.3069
-3.9141 -5.5436 0.4938
-13.1957 8.5265 2.5122
ATOMIC_POSITIONS crystal
Rb 0.5125 0.3469 0.6282
Rb 0.4875 0.6531 0.3718
Rb 0.2523 0.2658 0.2295
Rb 0.7477 0.7342 0.7705
Rb 0.3957 0.2828 0.9258
Rb 0.6043 0.7172 0.0742
Tl 0.7606 0.0677 0.4110
Tl 0.2394 0.9323 0.5890
Au 0.8789 0.7090 0.5332
Au 0.1211 0.2910 0.4668
Au 0.1022 0.8744 0.9213
Au 0.8978 0.1256 0.0787
Au 0.9479 0.8710 0.2332
Au 0.0521 0.1290 0.7668
```

Computed properties:
Space group: C2/m (12)
Calculated density, g/cm³: 7.00
V, Å³/f.u.: 249.56


Version B
Density functional theory data (PBE-GGA) for an optimized crystal structure of Rb3TlAu3. Values from VASP.

Cell and atoms, written as Quantum ESPRESSO input:
```
&SYSTEM
  ibrav = 0, nat = 14, ntyp = 3
/
ATOMIC_SPECIES
Rb 85.47 Rb.upf
Tl 204.38 Tl.upf
Au 196.97 Au.upf
CELL_PARAMETERS angstrom
8.4128 0.4413 0.2868
-3.3529 7.7284 0.2868
-0.4800 -0.7750 8.5006
ATOMIC_POSITIONS crystal
Rb 0.6203 0.6203 0.3307
Rb 0.1528 0.8472 0.5000
Rb 0.8472 0.1528 0.5000
Rb 0.2332 0.7668 0.0000
Rb 0.7668 0.2332 0.0000
Rb 0.3797 0.3797 0.6693
Tl 0.7542 0.7542 0.8837
Tl 0.2458 0.2458 0.1163
Au 0.9438 0.9438 0.1674
Au 0.8428 0.5167 0.6878
Au 0.5167 0.8428 0.6878
Au 0.1572 0.4833 0.3122
Au 0.4833 0.1572 0.3122
Au 0.0562 0.0562 0.8326
```

Computed properties:
Space group: C2/m (12)
Calculated density, g/cm³: 6.14
V, Å³/f.u.: 284.44


On energetic grounds, version A is preferred over the next structure by 7.1 kJ/mol of atoms.